1.
This record from Alexandria describes a relaxed MgTlTe2 crystal. The functional is GGA-PBEsol.

N(E_F) = 1.79 states/eV per cell
E_tot = -3.066 eV per atom
calculated volume = 111 Å³/cell
E_form (uncorrected) = -216 meV per atom

a b c (Å): 5.7824 5.7824 3.3252
angles (deg): 90.00 90.00 90.00
Closest atoms and distances in Å follow each position.
Atoms (fractional coordinates):
Mg 0.0000 0.0000 0.0000  2 Mg 3.33, 8 Te 3.34
Tl 0.5000 0.5000 0.0000  2 Tl 3.33, 8 Te 3.34
Te 0.0000 0.5000 0.5000  2 Te 3.33, 4 Tl 3.34, 4 Mg 3.34
Te 0.5000 0.0000 0.5000  2 Te 3.33, 4 Tl 3.34, 4 Mg 3.34


2.
This record from Alexandria describes a relaxed MnIr2W crystal. The functional is GGA-PBEsol.

N(E_F) = 2.80 states/eV per cell
ΔE to the lowest computed polymorph = 0.030 eV/atom
formation energy = -0.23 eV per atom
E_tot = -11.030 eV per atom
calculated volume = 54 Å³/cell

a b c (Å): 2.7079 4.2781 4.6973
angles (deg): 90.00 90.00 90.00
Closest atoms and distances in Å follow each position.
Atoms (fractional coordinates):
Mn 0.0000 0.0000 0.0000  8 Ir 2.62-2.74, 2 W 2.64, 2 Mn 2.71
Ir 0.5000 0.0000 0.4932  4 W 2.66, 4 Mn 2.68-2.74, 4 Ir 2.69-2.71
Ir 0.5000 0.5000 0.1472  4 W 2.62-2.80, 4 Mn 2.62, 4 Ir 2.69-2.71
W 0.0000 0.5000 0.6691  8 Ir 2.62-2.80, 2 Mn 2.64, 2 W 2.71


calculated volume of number 2 (MnIr2W)? 54 Å³/cell


Which value of N(E_F) does entry 2 give? 2.80 states/eV per cell


Repeat the second record exactly.
This record from Alexandria describes a relaxed MnIr2W crystal. The functional is GGA-PBEsol.

N(E_F) = 2.80 states/eV per cell
ΔE to the lowest computed polymorph = 0.030 eV/atom
formation energy = -0.23 eV per atom
E_tot = -11.030 eV per atom
calculated volume = 54 Å³/cell

a b c (Å): 2.7079 4.2781 4.6973
angles (deg): 90.00 90.00 90.00
Closest atoms and distances in Å follow each position.
Atoms (fractional coordinates):
Mn 0.0000 0.0000 0.0000  8 Ir 2.62-2.74, 2 W 2.64, 2 Mn 2.71
Ir 0.5000 0.0000 0.4932  4 W 2.66, 4 Mn 2.68-2.74, 4 Ir 2.69-2.71
Ir 0.5000 0.5000 0.1472  4 W 2.62-2.80, 4 Mn 2.62, 4 Ir 2.69-2.71
W 0.0000 0.5000 0.6691  8 Ir 2.62-2.80, 2 Mn 2.64, 2 W 2.71